16
Lattice="7.8540 0.0000 0.0000 0.0000 7.8540 0.0000 0.0000 0.0000 6.6630" Properties=species:S:1:pos:R:3 comment="La2CoAg PBE-GGA optimized geometry" formation_enthalpy_0k_ev_per_atom=0.0789 magmom_total_mub_per_atom=0.000 sg="No. 122" pbc="T T T"
La 1.5329 1.9635 0.8329
La 1.9635 5.4599 2.4986
La 1.9635 6.3211 5.8301
La 2.3941 1.9635 4.1644
La 5.4599 5.8905 4.1644
La 5.8905 1.5329 5.8301
La 5.8905 2.3941 2.4986
La 6.3211 5.8905 0.8329
Co 0.0000 0.0000 0.0000
Co 0.0000 3.9270 1.6658
Co 3.9270 0.0000 4.9973
Co 3.9270 3.9270 3.3315
Ag 0.0000 0.0000 3.3315
Ag 0.0000 3.9270 4.9973
Ag 3.9270 0.0000 1.6658
Ag 3.9270 3.9270 0.0000



3
Lattice="3.5920 0.0000 0.0000 -1.7960 3.1108 0.0000 0.0000 0.0000 4.5326" Properties=species:S:1:pos:R:3 comment="PaRhN PBE-GGA optimized geometry" polymorph_energy_kj_per_mol_fu=0 magmom_total_mub_per_atom=0.000 sg="No. 156" formation_energy_uncorrected_kj_per_mol_atoms=-72 pbc="T T T"
Pa 0.0000 0.0000 0.0000
Rh 1.7960 1.0369 2.7165
N 0.0000 2.0739 0.8562



11
Lattice="7.3122 -3.2251 0.0000 7.3122 3.2251 0.0000 -2.5504 0.0000 7.7241" Properties=species:S:1:pos:R:3 comment="Rb2In2GaSn6 PBE-GGA optimized geometry" formation_enthalpy_0k_ev_per_atom=-0.0339 magmom_total_mub_per_atom=0.000 sg="No. 12" pbc="T T T"
Rb 3.1734 0.0000 1.0241
Rb 8.9007 0.0000 6.7000
In 0.2260 0.0000 4.4052
In 11.8481 0.0000 3.3189
Ga 6.0370 0.0000 3.8620
Sn 5.2043 1.6687 6.2506
Sn 6.8697 1.6687 1.4735
Sn 3.2670 0.0000 4.6377
Sn 8.8070 0.0000 3.0864
Sn 5.2043 -1.6687 6.2506
Sn 6.8697 -1.6687 1.4735



6
Lattice="3.7311 0.0000 0.0000 0.0000 3.7311 0.0000 0.0000 0.0000 11.5011" Properties=species:S:1:pos:R:3 comment="La2TbAg3 PBE-GGA optimized geometry" formation_enthalpy_0k_ev_per_atom=-0.2771 magmom_total_mub_per_atom=0.000 sg="No. 123" pbc="T T T"
La 0.0000 0.0000 1.9797
La 0.0000 0.0000 9.5214
Tb 0.0000 0.0000 5.7505
Ag 1.8655 1.8655 0.0000
Ag 1.8655 1.8655 4.0424
Ag 1.8655 1.8655 7.4586



11
Lattice="6.4338 -2.4729 0.0000 6.4338 2.4729 0.0000 -1.2042 0.0000 4.7469" Properties=species:S:1:pos:R:3 comment="V8Cr2Mo PBE-GGA optimized geometry" formation_enthalpy_0k_ev_per_atom=0.1582 polymorph_energy_kj_per_mol_fu=221 magmom_total_mub_per_atom=0.000 sg="No. 12" pbc="T T T"
V -0.2753 0.0000 1.1244
V 3.7598 1.2766 1.9220
V 3.8794 0.0000 4.4482
V 7.9035 1.2766 2.8249
V 3.7598 -1.2766 1.9220
V 7.7839 0.0000 0.2987
V 7.9035 -1.2766 2.8249
V 11.9386 0.0000 3.6225
Cr 2.4150 0.0000 0.3243
Cr 9.2484 0.0000 4.4226
Mo 5.8317 0.0000 2.3734



12
Lattice="3.2752 0.0000 0.0000 0.0000 16.3485 0.0000 0.0000 0.0000 4.9930" Properties=species:S:1:pos:R:3 comment="ZrScHg PBE-GGA optimized geometry" formation_enthalpy_0k_ev_per_atom=-0.2449 polymorph_energy_kj_per_mol_fu=3 magmom_total_mub_per_atom=0.000 sg="No. 63" pbc="T T T"
Zr 0.0000 3.6665 1.2483
Zr 0.0000 12.6820 3.7448
Zr 1.6376 4.5078 3.7448
Zr 1.6376 11.8408 1.2483
Sc 0.0000 1.6390 3.7448
Sc 0.0000 14.7095 1.2483
Sc 1.6376 6.5352 1.2483
Sc 1.6376 9.8133 3.7448
Hg 0.0000 7.2127 3.7448
Hg 0.0000 9.1358 1.2483
Hg 1.6376 0.9616 1.2483
Hg 1.6376 15.3870 3.7448



13
Lattice="5.4400 -4.5381 0.0000 5.4400 4.5381 0.0000 -1.4841 0.0000 5.3455" Properties=species:S:1:pos:R:3 comment="In3Ga2Au8 PBE-GGA optimized geometry" formation_enthalpy_0k_ev_per_atom=-0.1281 magmom_total_mub_per_atom=0.000 sg="No. 12" pbc="T T T"
In 0.0000 0.0000 0.0000
In 4.6979 2.4086 2.6728
In 4.6979 -2.4086 2.6728
Ga 3.1701 0.0000 0.3000
Ga 6.2256 0.0000 5.0455
Au 2.1964 2.4164 4.2921
Au 1.1012 0.0000 2.9604
Au 7.1994 2.4164 1.0535
Au 3.8796 0.0000 3.8868
Au 5.5162 0.0000 1.4587
Au 2.1964 -2.4164 4.2921
Au 8.2946 0.0000 2.3851
Au 7.1994 -2.4164 1.0535



18
Lattice="5.1044 0.0000 0.0000 0.0000 5.1044 0.0000 0.0000 0.0000 10.4652" Properties=species:S:1:pos:R:3 comment="Y2UO6 PBE-GGA optimized geometry" polymorph_energy_kj_per_mol_fu=22 magmom_total_mub_per_atom=0.000 sg="No. 136" formation_energy_uncorrected_kj_per_mol_atoms=-329 pbc="T T T"
Y 0.0000 0.0000 1.7386
Y 0.0000 0.0000 8.7266
Y 2.5522 2.5522 3.4940
Y 2.5522 2.5522 6.9712
U 0.0000 0.0000 5.2326
U 2.5522 2.5522 0.0000
O 0.9437 0.9437 3.6076
O 0.9437 0.9437 6.8576
O 1.0634 1.0634 0.0000
O 1.4888 3.6156 5.2326
O 1.6085 3.4959 1.6250
O 1.6085 3.4959 8.8402
O 3.4959 1.6085 1.6250
O 3.4959 1.6085 8.8402
O 3.6156 1.4888 5.2326
O 4.0411 4.0411 0.0000
O 4.1607 4.1607 3.6076
O 4.1607 4.1607 6.8576



8
Lattice="7.6041 0.0000 0.0000 0.0000 4.3195 0.0000 -2.4949 0.0000 7.4235" Properties=species:S:1:pos:R:3 comment="Th4TcBi2Se PBE-GGA optimized geometry" magmom_total_mub_per_atom=0.000 sg="No. 10" formation_energy_uncorrected_kj_per_mol_atoms=-67 pbc="T T T"
Th 1.1314 0.0000 1.5289
Th -0.0977 2.1598 5.8235
Th 5.2069 2.1598 1.6000
Th 3.9778 0.0000 5.8946
Tc 0.0000 2.1598 0.0000
Bi -1.2475 0.0000 3.7118
Bi 2.5546 2.1598 3.7118
Se 3.8020 0.0000 0.0000



4
Lattice="3.5181 0.0000 0.0000 0.0000 3.5181 0.0000 0.0000 0.0000 9.0885" Properties=species:S:1:pos:R:3 comment="CeNdSn2 PBE-GGA optimized geometry" formation_enthalpy_0k_ev_per_atom=-0.6314 magmom_total_mub_per_atom=0.237 sg="No. 123" pbc="T T T"
Ce 0.0000 0.0000 0.0000
Nd 0.0000 0.0000 4.5443
Sn 1.7591 1.7591 2.2576
Sn 1.7591 1.7591 6.8310



12
Lattice="2.2018 1.2712 7.0470 -2.2018 1.2712 7.0470 0.0000 -2.5424 7.0470" Properties=species:S:1:pos:R:3 comment="Ti2Be9Rh PBE-GGA optimized geometry" formation_enthalpy_0k_ev_per_atom=-0.2255 magmom_total_mub_per_atom=0.155 sg="No. 166" pbc="T T T"
Ti 0.0000 0.0000 3.0886
Ti 0.0000 0.0000 18.0523
Be -1.0968 -0.6332 8.7560
Be 0.0000 0.0000 7.0700
Be 0.0000 -1.2664 12.3849
Be -1.0968 0.6332 12.3849
Be 0.0000 0.0000 10.5705
Be 1.0968 -0.6332 8.7560
Be 0.0000 1.2664 8.7560
Be 0.0000 0.0000 14.0710
Be 1.0968 0.6332 12.3849
Rh 0.0000 0.0000 0.0000



6
Lattice="3.2831 0.0000 0.0000 -1.6415 2.8432 0.0000 0.0000 0.0000 12.8715" Properties=species:S:1:pos:R:3 comment="IrPb PBE-GGA optimized geometry" formation_enthalpy_0k_ev_per_atom=0.6080 magmom_total_mub_per_atom=0.000 sg="No. 166" pbc="T T T"
Ir 0.0000 0.0000 0.0000
Ir 0.0000 1.8955 8.5810
Ir 1.6415 0.9477 4.2905
Pb 0.0000 0.0000 6.4357
Pb 0.0000 1.8955 2.1452
Pb 1.6415 0.9477 10.7262